La14SmDy | the Alexandria database | PBE | optimized geometry; DOS at the Fermi energy = 28.58 states/eV/f.u.; electronic total energy = -78.2 eV/cell; DFT formation energy = 9 meV/atom; symmetry = Amm2, No. 38
1.0
-3.7997 -5.5274 -3.1096
-2.2095 -2.2547 6.6853
-8.4675 6.2158 -0.7022
La Dy Sm
14 1 1
Cartesian
-9.5712 0.3786 0.0446
-6.4072 -3.8761 3.7285
-4.5163 -1.1205 5.2769
-5.9365 0.7511 -0.6806
-8.7708 2.0026 4.9241
-3.4130 0.0015 1.9468
-1.6998 -2.3530 -0.3309
-5.2999 -2.7568 0.3988
-10.6662 -0.7496 3.3753
-7.8344 -2.0099 -2.2348
-7.6720 3.1280 1.5936
-7.0398 -0.3745 2.6597
-4.7068 -6.2471 1.4584
-8.9377 -3.1356 1.1052
-2.8054 -3.4811 3.0149
-3.6013 -5.1192 -1.8880